1.
Computed, not measured: a relaxed Tb4Ni2Ag5 crystal at the PBE level of DFT.

The structure in POSCAR format:
```
Tb4Ni2Ag5
1.0
3.679 0.000 0.000
0.000 7.303 -0.082
0.000 -0.812 8.902
Ni Ag Tb
2 5 4
direct
0.000 0.069 0.633
0.000 0.931 0.367
0.000 0.500 0.000
0.000 0.547 0.326
0.000 0.453 0.674
0.000 0.838 0.859
0.000 0.162 0.141
0.500 0.811 0.149
0.500 0.226 0.433
0.500 0.774 0.567
0.500 0.189 0.851
```

space group = P2/m
DFT total energy = -4.3478 eV/atom



2.
Computed, not measured: a relaxed Tb2Ni9Ag crystal at the PBE level of DFT.

The structure in POSCAR format:
```
Tb2Ni9Ag
1.0
4.938 0.000 0.000
2.469 4.276 0.000
2.469 1.425 8.007
Ni Tb Ag
9 2 1
direct
0.418 0.919 0.245
0.500 0.500 0.500
0.081 0.582 0.755
0.333 0.333 0.001
0.418 0.418 0.245
0.667 0.667 0.999
0.582 0.081 0.755
0.919 0.418 0.245
0.582 0.582 0.755
0.866 0.866 0.403
0.134 0.134 0.597
0.000 0.000 0.000
```

space group = R-3m
DFT total energy = -5.5281 eV/atom